No. 1
Below is a geometry-optimized KHgMo structure, with properties calculated at the GGA-PBE level.

Calculated values
Distance to the lowest polymorph of the same formula   213 kJ/mol of formula units
Space group   F-43m, No. 216
E   -2.43 eV/atom
Magnetic moment   5.13 μB per formula unit

abc: 5.5397 5.5397 5.5397
angles: 60.00 60.00 60.00
Fractional positions:
Hg: 0.5000 0.5000 0.5000
K: 0.7500 0.7500 0.7500
Mo: 0.0000 0.0000 0.0000

***

No. 2
Below is a geometry-optimized KHgMo2 structure, with properties calculated at the GGA-PBE level.

Calculated values
Space group   P4mm, No. 99
E   -5.19 eV/atom
Magnetic moment   0.00 μB per formula unit

abc: 3.2570 3.2570 8.7898
angles: 90.00 90.00 90.00
Fractional positions:
Hg: 0.0000 0.0000 0.4481
K: 0.5000 0.5000 0.7511
Mo: 0.0000 0.0000 0.0832
Mo: 0.5000 0.5000 0.2177

***

No. 3
Below is a geometry-optimized KHgMo2 structure, with properties calculated at the GGA-PBE level.

Calculated values
Space group   Cmmm, No. 65
E   -4.68 eV/atom
Magnetic moment   0.00 μB per formula unit

abc: 2.7773 2.7773 11.0237
angles: 90.00 90.00 105.40
Fractional positions:
Hg: 0.5000 0.5000 0.2500
K: 0.5000 0.5000 0.7500
Mo: 0.0000 0.0000 0.0311
Mo: 0.0000 0.0000 0.4689

***

No. 4
Below is a geometry-optimized KHgMo2 structure, with properties calculated at the GGA-PBE level.

Calculated values
Space group   Cmm2, No. 35
E   -5.15 eV/atom
Magnetic moment   0.00 μB per formula unit

abc: 3.0014 3.0014 10.4874
angles: 90.00 90.00 113.41
Fractional positions:
Hg: 0.0000 0.0000 0.4699
K: 0.5000 0.5000 0.7541
Mo: 0.0000 0.0000 0.0493
Mo: 0.5000 0.5000 0.2267

***

No. 5
Below is a geometry-optimized KHgMo2 structure, with properties calculated at the GGA-PBE level.

Calculated values
Space group   Cm, No. 8
E   -4.91 eV/atom
Magnetic moment   0.00 μB per formula unit

abc: 4.5926 4.5926 8.0354
angles: 88.48 88.48 34.39
Fractional positions:
Hg: 0.5081 0.5081 0.4405
K: 0.7571 0.7571 0.7574
Mo: 0.9955 0.9955 0.0794
Mo: 0.2393 0.2393 0.2227

***

No. 6
Below is a geometry-optimized KHg3Mo structure, with properties calculated at the GGA-PBE level.

Calculated values
Distance to the lowest polymorph of the same formula   0 kJ/mol of formula units
Space group   Pm-3m, No. 221
E   -2.16 eV/atom
Magnetic moment   2.56 μB per formula unit

abc: 5.4775 5.4775 5.4775
angles: 90.00 90.00 90.00
Fractional positions:
K: 0.5000 0.5000 0.5000
Mo: 0.0000 0.0000 0.0000
Hg: 0.0000 0.5000 0.0000
Hg: 0.0000 0.0000 0.5000
Hg: 0.5000 0.0000 0.0000

***

No. 7
Below is a geometry-optimized KHgMo2 structure, with properties calculated at the GGA-PBE level.

Calculated values
Space group   Cmmm, No. 65
E   -4.51 eV/atom
Magnetic moment   0.00 μB per formula unit

abc: 6.0918 6.0918 2.6827
angles: 90.00 90.00 124.67
Fractional positions:
Hg: 0.5000 0.0000 0.5000
K: 0.0000 0.5000 0.5000
Mo: 0.0000 0.0000 0.0000
Mo: 0.5000 0.5000 0.0000

***

No. 8
Below is a geometry-optimized KHgMo3 structure, with properties calculated at the GGA-PBE level.

Calculated values
Distance to the lowest polymorph of the same formula   0 kJ/mol of formula units
Space group   Pm-3m, No. 221
E   -4.16 eV/atom
Magnetic moment   0.00 μB per formula unit

abc: 5.1161 5.1161 5.1161
angles: 90.00 90.00 90.00
Fractional positions:
K: 0.5000 0.5000 0.5000
Mo: 0.0000 0.5000 0.0000
Mo: 0.0000 0.0000 0.5000
Mo: 0.5000 0.0000 0.0000
Hg: 0.0000 0.0000 0.0000

***

No. 9
Below is a geometry-optimized KHgMo structure, with properties calculated at the GGA-PBE level.

Calculated values
Distance to the lowest polymorph of the same formula   0 kJ/mol of formula units
Space group   Imm2, No. 44
E   -3.17 eV/atom
Magnetic moment   1.85 μB per formula unit

abc: 6.7186 6.7186 6.7186
angles: 155.57 138.46 48.78
Fractional positions:
Hg: 0.0521 0.0521 0.0000
K: 0.3354 0.3354 0.0000
Mo: 0.6125 0.6125 0.0000

***

No. 10
Below is a geometry-optimized KHgMo2 structure, with properties calculated at the GGA-PBE level.

Calculated values
Space group   Imm2, No. 44
E   -4.82 eV/atom
Magnetic moment   0.00 μB per formula unit

abc: 6.2554 6.2554 6.2554
angles: 150.67 124.09 64.39
Fractional positions:
Hg: 0.5355 0.5355 0.0000
K: 0.2387 0.7387 0.5000
Mo: 0.9431 0.9431 0.0000
Mo: 0.7827 0.2827 0.5000

***

No. 11
Below is a geometry-optimized KHgMo3 structure, with properties calculated at the GGA-PBE level.

Calculated values
Distance to the lowest polymorph of the same formula   166 kJ/mol of formula units
Space group   Pm-3m, No. 221
E   -3.82 eV/atom
Magnetic moment   0.00 μB per formula unit

abc: 4.5600 4.5600 4.5600
angles: 90.00 90.00 90.00
Fractional positions:
K: 0.0000 0.0000 0.0000
Mo: 0.0000 0.5000 0.0000
Mo: 0.0000 0.0000 0.5000
Mo: 0.5000 0.0000 0.0000
Hg: 0.5000 0.5000 0.5000

***

No. 12
Below is a geometry-optimized KHgMo2 structure, with properties calculated at the GGA-PBE level.

Calculated values
Space group   P4/mmm, No. 123
E   -4.65 eV/atom
Magnetic moment   0.06 μB per formula unit

abc: 2.7630 2.7630 10.8494
angles: 90.00 90.00 90.00
Fractional positions:
Hg: 0.5000 0.5000 0.2500
K: 0.5000 0.5000 0.7500
Mo: 0.0000 0.0000 0.0356
Mo: 0.0000 0.0000 0.4644

***

| no. | N(E_F) (states/eV/cell) |
| --- | --- |
| 1 | 0.9 |
| 2 | 5.1 |
| 3 | 3.8 |
| 4 | 2.6 |
| 5 | 3.7 |
| 6 | 3.3 |
| 7 | 2.7 |
| 8 | 7.9 |
| 9 | 2.0 |
| 10 | 2.5 |
| 11 | 5.7 |
| 12 | 4.7 |